No. 1
Compound: Y3SnMo
Source: the Alexandria database
Functional: PBE
Structure: relaxed

Output
Energy relative to the lowest polymorph listed for this composition   0.00 eV/f.u.
Crystal system   cubic
E   -6.58 eV per atom
Space-group type   Pm-3m (221)

Lattice parameters (Å, degrees): 5.3303 5.3303 5.3303 90.00 90.00 90.00
Sites, in units of the cell vectors:
Sn1 0.5000 0.5000 0.5000
Mo1 0.0000 0.0000 0.0000
Y1 0.0000 0.0000 0.5000
Y2 0.5000 0.0000 0.0000
Y3 0.0000 0.5000 0.0000

=====

No. 2
Compound: YSn2Mo2
Source: the Alexandria database
Functional: PBE
Structure: relaxed

Output
Energy relative to the lowest polymorph listed for this composition   0.16 eV/f.u.
Crystal system   tetragonal
E   -7.16 eV per atom
Space-group type   I4/mmm (139)

Lattice parameters (Å, degrees): 4.9859 4.9859 5.8399 64.73 64.73 90.00
Sites, in units of the cell vectors:
Y1 0.0000 0.0000 0.0000
Sn1 0.2500 0.7500 0.5000
Sn2 0.7500 0.2500 0.5000
Mo1 0.6172 0.6172 0.7656
Mo2 0.3828 0.3828 0.2344

=====

No. 3
Compound: ZnSnMo3
Source: the Alexandria database
Functional: PBE
Structure: relaxed

Output
Energy relative to the lowest polymorph listed for this composition   4.04 eV/f.u.
Crystal system   cubic
E   -5.34 eV per atom
Space-group type   Pm-3m (221)

Lattice parameters (Å, degrees): 4.9026 4.9026 4.9026 90.00 90.00 90.00
Sites, in units of the cell vectors:
Mo1 0.0000 0.0000 0.5000
Mo2 0.5000 0.0000 0.0000
Mo3 0.0000 0.5000 0.0000
Sn1 0.0000 0.0000 0.0000
Zn1 0.5000 0.5000 0.5000